# 1
A geometry-optimized V4FeTc structure. Source: Alexandria via LeMat-Bulk, functional PBE.

abc: 2.9579 2.9579 8.9153
angles: 90.00 90.00 90.00
Last column: nearest neighbours and their distance in Å.
Atoms (fractional coordinates):
V 0.5000 0.5000 0.1713  4 V 2.58, 4 Tc 2.59
V 0.0000 0.0000 0.6591  4 Fe 2.53, 4 V 2.58
V 0.0000 0.0000 0.3409  4 Fe 2.53, 4 V 2.58
V 0.5000 0.5000 0.8287  4 V 2.58, 4 Tc 2.59
Fe 0.5000 0.5000 0.5000  8 V 2.53
Tc 0.0000 0.0000 0.0000  8 V 2.59

Computed properties:
space group	P4/mmm, No. 123
magnetic moment	0.26	μB per formula unit
DFT formation energy	-230	meV/atom
distance to the lowest polymorph of the same formula	0.000	eV/atom

# 2
A geometry-optimized Cs2SiP2 structure. Source: Alexandria via LeMat-Bulk, functional PBE.

abc: 3.4754 7.9018 11.5841
angles: 90.00 90.00 90.00
Last column: nearest neighbours and their distance in Å.
Atoms (fractional coordinates):
Cs 0.0000 0.9306 0.3312  2 Cs 3.48, 6 P 3.71-3.74, 1 Si 3.88
Cs 0.0000 0.0694 0.6688  2 Cs 3.48, 6 P 3.71-3.74, 1 Si 3.88
Cs 0.0000 0.4306 0.1688  2 Cs 3.48, 6 P 3.71-3.74, 1 Si 3.88
Cs 0.0000 0.5694 0.8312  2 Cs 3.48, 6 P 3.71-3.74, 1 Si 3.88
Si 0.0000 0.0000 0.0000  4 P 2.36
Si 0.0000 0.5000 0.5000  4 P 2.36
P 0.5000 0.8165 0.0582  2 Si 2.36
P 0.5000 0.1835 0.9418  2 Si 2.36
P 0.5000 0.3165 0.4418  2 Si 2.36
P 0.5000 0.6835 0.5582  2 Si 2.36

Computed properties:
space group	Pbam, No. 55
energy relative to the elements, uncorrected	-122	meV/atom
magnetic moment	0.15	μB per formula unit
distance to the lowest polymorph of the same formula	0.363	eV/atom

# 3
A geometry-optimized PmNpIrOs structure. Source: Alexandria via LeMat-Bulk, functional PBE.

abc: 4.8810 4.8810 4.8810
angles: 60.00 60.00 60.00
Last column: nearest neighbours and their distance in Å.
Atoms (fractional coordinates):
Np 0.7500 0.7500 0.7500  4 Ir 2.99, 4 Os 2.99
Ir 0.0000 0.0000 0.0000  4 Np 2.99, 4 Pm 2.99
Os 0.5000 0.5000 0.5000  4 Pm 2.99, 4 Np 2.99
Pm 0.2500 0.2500 0.2500  4 Os 2.99, 4 Ir 2.99

Computed properties:
space group	F-43m, No. 216
magnetic moment	2.81	μB per formula unit
DFT formation energy	-78	meV/atom

# 4
A geometry-optimized Co5Pb structure. Source: Alexandria via LeMat-Bulk, functional PBE.

abc: 7.1018 7.1018 4.0126
angles: 90.00 90.00 156.66
Last column: nearest neighbours and their distance in Å.
Atoms (fractional coordinates):
Co 0.9740 0.0260 0.0000  6 Co 2.46-2.53
Co 0.3304 0.6696 0.0000  10 Co 2.45-2.51
Co 0.6880 0.3120 0.0000  4 Co 2.45-2.51, 4 Pb 2.69
Co 0.4336 0.5664 0.5000  8 Co 2.39-2.53
Co 0.7966 0.2034 0.5000  8 Co 2.39-2.51
Pb 0.1107 0.8893 0.5000  10 Co 2.69-2.96, 2 Pb 2.87

Computed properties:
space group	Amm2, No. 38
magnetic moment	7.55	μB per formula unit
DFT formation energy	358	meV/atom

# 5
A geometry-optimized ZrSc2Cl structure. Source: Alexandria via LeMat-Bulk, functional PBE.

abc: 5.8994 5.8994 5.8994
angles: 148.82 123.11 66.31
Last column: nearest neighbours and their distance in Å.
Atoms (fractional coordinates):
Cl 0.7500 0.2500 0.5000  4 Sc 2.69
Sc 0.9703 0.9703 0.0000  2 Cl 2.69
Sc 0.5297 0.5297 0.0000  2 Cl 2.69
Zr 0.2500 0.7500 0.5000  2 Zr 3.17, 4 Sc 3.19, 4 Cl 3.23

Computed properties:
space group	Immm, No. 71
energy relative to the elements, uncorrected	-242	meV/atom
magnetic moment	0.00	μB per formula unit
distance to the lowest polymorph of the same formula	0.392	eV/atom

# 6
A geometry-optimized La3CeTh4Sb8 structure. Source: Alexandria via LeMat-Bulk, functional PBE.

abc: 9.0884 9.1118 9.0912
angles: 119.95 119.99 90.00
Last column: nearest neighbours and their distance in Å.
Atoms (fractional coordinates):
La 0.5000 0.5000 0.0000  6 Sb 3.24-3.25
La 0.5000 0.5000 0.5000  6 Sb 3.24
La 0.0000 0.5000 0.5000  6 Sb 3.24
Ce 0.0000 0.5000 0.0000  6 Sb 3.22
Th 0.5000 0.0000 0.0000  6 Sb 3.22
Th 0.5000 0.0000 0.5000  6 Sb 3.19
Th 0.0000 0.0000 0.0000  6 Sb 3.19
Th 0.0000 0.0000 0.5000  6 Sb 3.19
Sb 0.2501 0.7541 0.0040  3 Th 3.19-3.22, 1 Ce 3.22, 2 La 3.24
Sb 0.2500 0.7541 0.5001  3 Th 3.19-3.22, 1 Ce 3.22, 2 La 3.24
Sb 0.2478 0.2436 0.4956  3 Th 3.19, 3 La 3.24-3.25
Sb 0.7539 0.7541 0.0040  3 Th 3.19-3.22, 1 Ce 3.22, 2 La 3.24
Sb 0.2461 0.2459 0.9960  3 Th 3.19-3.22, 1 Ce 3.22, 2 La 3.24
Sb 0.7522 0.7564 0.5044  3 Th 3.19, 3 La 3.24-3.25
Sb 0.7500 0.2459 0.4999  3 Th 3.19-3.22, 1 Ce 3.22, 2 La 3.24
Sb 0.7499 0.2459 0.9960  3 Th 3.19-3.22, 1 Ce 3.22, 2 La 3.24

Computed properties:
space group	R-3m, No. 166
energy relative to the elements, uncorrected	-1079	meV/atom
magnetic moment	1.04	μB per formula unit

# 7
A geometry-optimized LaZn2Os structure. Source: Alexandria via LeMat-Bulk, functional PBE.

abc: 4.5727 3.2017 5.5533
angles: 73.91 90.00 90.00
Last column: nearest neighbours and their distance in Å.
Atoms (fractional coordinates):
La 0.5000 0.2500 0.2500  2 Os 2.79
Os 0.5000 0.7500 0.7500  4 Zn 2.64, 2 La 2.79
Zn 0.0000 0.9138 0.9440  2 Zn 2.59-2.64, 2 Os 2.64
Zn 0.0000 0.5862 0.5560  2 Zn 2.59-2.64, 2 Os 2.64

Computed properties:
space group	P2/m, No. 10
magnetic moment	0.00	μB per formula unit
DFT formation energy	77	meV/atom

# 8
A geometry-optimized TiSeIN2 structure. Source: Alexandria via LeMat-Bulk, functional PBE.

abc: 3.8507 3.8507 6.4813
angles: 90.00 90.00 90.00
Last column: nearest neighbours and their distance in Å.
Atoms (fractional coordinates):
I 0.0000 0.0000 0.5000  4 Ti 2.72
N 0.0000 0.5000 0.0000  2 Se 1.93
N 0.5000 0.0000 0.0000  2 Se 1.93
Se 0.0000 0.0000 0.0000  4 N 1.93
Ti 0.5000 0.5000 0.5000  4 I 2.72

Computed properties:
space group	P4/mmm, No. 123
energy relative to the elements, uncorrected	1625	meV/atom
magnetic moment	0.00	μB per formula unit
distance to the lowest polymorph of the same formula	1.125	eV/atom